Density functional theory data (PBE) for an optimized crystal structure of ZrTlSe.

```
ZrTlSe
1.0
-2.6817 0.0831 -2.3487
3.3098 -0.7433 -1.0987
-1.1385 -6.6443 1.0649
Zr Se Tl
1 1 1
direct
0.3333 0.6667 0.6999
0.0000 0.0000 0.9486
0.6667 0.3333 0.3515
```

For the magnetization, the calculation gives 0.0 μB per cell. As for the uncorrected formation energy: -0.522 eV/atom. The value obtained for the total energy is -0.391 Ry/atom. The energy above the most stable polymorph in this dataset is 0.095 eV/atom.